# PrYMg | Alexandria via LeMat-Bulk | PBE-GGA | optimized geometry
# - Mass density: 4.6 Mg/m³
# - Energy of formation: 35 meV/atom
# - V: 30.7 A^3/atom
# - Size of the total moment: 0.00 μB/f.u.
# - ΔE to the lowest computed polymorph: 0.0935 eV/atom
data_PrYMg
_chemical_formula_sum 'Pr1 Y1 Mg1'
_cell_length_a 5.5326
_cell_length_b 5.5326
_cell_length_c 3.4781
_cell_angle_alpha 90.00
_cell_angle_beta 90.00
_cell_angle_gamma 120.00
_space_group_name_H-M_alt 'P 3 m 1'
_space_group_IT_number 156
loop_
_space_group_symop_operation_xyz
'x,y,z'
'-y,x-y,z'
'-x+y,-x,z'
'-y,-x,z'
'-x+y,y,z'
'x,x-y,z'
loop_
_atom_site_label
_atom_site_fract_x
_atom_site_fract_y
_atom_site_fract_z
Pr1 0.0000 0.0000 0.0000
Y1 0.6667 0.3333 0.5678
Mg1 0.3333 0.6667 0.3032